(A)
VASP calculation (PBE) on an optimized crystal structure of RuPtRh2.

Cell lengths 5.577, 5.577, 5.577 Å; angles 103.69, 103.69, 121.79 degrees
Element x y z (fractional)
Ru1 0.000 0.000 0.000
Ru2 0.750 0.250 0.500
Pt1 0.250 0.750 0.500
Pt2 0.500 0.500 0.000
Rh1 0.102 0.625 0.977
Rh2 0.375 0.352 0.477
Rh3 0.648 0.125 0.023
Rh4 0.875 0.898 0.523

Values from the calculation:
D(E_F): 10.10 states/eV/cell
Space group: I-42d

***

(B)
VASP calculation (PBE) on an optimized crystal structure of RuPtRh2.

Cell lengths 4.746, 4.746, 4.746 Å; angles 132.06, 132.06, 70.14 degrees
Element x y z (fractional)
Ru1 0.000 0.000 0.000
Pt1 0.250 0.750 0.500
Rh1 0.500 0.500 0.000
Rh2 0.750 0.250 0.500

Values from the calculation:
D(E_F): 5.40 states/eV/cell
Space group: I-4m2

***

(C)
VASP calculation (PBE) on an optimized crystal structure of RuPtRh2.

Cell lengths 9.104, 9.104, 9.104 Å; angles 17.27, 17.27, 17.27 degrees
Element x y z (fractional)
Ru1 0.000 0.000 0.000
Pt1 0.752 0.752 0.752
Rh1 0.255 0.255 0.255
Rh2 0.505 0.505 0.505

Values from the calculation:
D(E_F): 6.61 states/eV/cell
Space group: R3m

***

Q: Which of them is the most stable? A: (B).

***

(A)
VASP calculation (PBE) on an optimized crystal structure of RuPtRh2.

Cell lengths 4.744, 2.730, 4.751 Å; angles 90.00, 109.91, 90.00 degrees
Element x y z (fractional)
Ru1 0.000 0.000 0.000
Pt1 0.500 0.500 0.000
Rh1 0.000 0.500 0.500
Rh2 0.500 0.000 0.500

Values from the calculation:
D(E_F): 6.22 states/eV/cell
Space group: P2/m

***

(B)
VASP calculation (PBE) on an optimized crystal structure of RuPtRh2.

Cell lengths 4.744, 4.744, 4.737 Å; angles 99.46, 99.46, 33.40 degrees
Element x y z (fractional)
Ru1 0.000 0.000 0.000
Pt1 0.500 0.500 0.500
Rh1 0.253 0.253 0.757
Rh2 0.747 0.747 0.243

Values from the calculation:
D(E_F): 5.19 states/eV/cell
Space group: C2/m

***

(C)
VASP calculation (PBE) on an optimized crystal structure of RuPtRh2.

Cell lengths 3.310, 3.310, 5.425 Å; angles 90.00, 90.00, 90.00 degrees
Element x y z (fractional)
Ru1 0.000 0.000 0.000
Pt1 0.000 0.000 0.500
Rh1 0.500 0.500 0.244
Rh2 0.500 0.500 0.756

Values from the calculation:
D(E_F): 3.89 states/eV/cell
Space group: P4/mmm

***

(D)
VASP calculation (PBE) on an optimized crystal structure of RuPtRh2.

Cell lengths 2.699, 4.677, 4.710 Å; angles 90.00, 90.01, 90.00 degrees
Element x y z (fractional)
Ru1 0.000 0.000 0.000
Pt1 0.500 0.000 0.500
Rh1 0.246 0.500 0.754
Rh2 0.754 0.500 0.246

Values from the calculation:
D(E_F): 5.94 states/eV/cell
Space group: P2/m

***

Q: Which of them is the most stable? A: (B).

***

(A)
VASP calculation (PBE) on an optimized crystal structure of RuPtRh2.

Cell lengths 2.724, 2.724, 7.789 Å; angles 90.00, 90.00, 90.00 degrees
Element x y z (fractional)
Ru1 0.000 0.000 0.000
Pt1 0.000 0.000 0.500
Rh1 0.500 0.500 0.238
Rh2 0.500 0.500 0.762

Values from the calculation:
D(E_F): 3.25 states/eV/cell
Space group: P4/mmm

***

(B)
VASP calculation (PBE) on an optimized crystal structure of RuPtRh2.

Cell lengths 2.727, 3.882, 5.460 Å; angles 90.00, 90.00, 90.00 degrees
Element x y z (fractional)
Ru1 0.000 0.000 0.000
Pt1 0.500 0.500 0.253
Rh1 0.000 0.000 0.510
Rh2 0.500 0.500 0.761

Values from the calculation:
D(E_F): 4.82 states/eV/cell
Space group: Pmm2

***

(C)
VASP calculation (PBE) on an optimized crystal structure of RuPtRh2.

Cell lengths 2.746, 2.746, 8.902 Å; angles 90.00, 90.00, 120.00 degrees
Element x y z (fractional)
Ru1 0.000 0.000 0.000
Pt1 0.000 0.000 0.500
Rh1 0.333 0.667 0.239
Rh2 0.333 0.667 0.761

Values from the calculation:
D(E_F): 6.50 states/eV/cell
Space group: P-6m2

***

(D)
VASP calculation (PBE) on an optimized crystal structure of RuPtRh2.

Cell lengths 3.872, 3.872, 3.853 Å; angles 90.00, 90.00, 90.00 degrees
Element x y z (fractional)
Ru1 0.000 0.000 0.000
Pt1 0.500 0.500 0.000
Rh1 0.000 0.500 0.500
Rh2 0.500 0.000 0.500

Values from the calculation:
D(E_F): 5.52 states/eV/cell
Space group: P4/mmm

***

Q: Which of them is the most stable? A: (A).

***

(A)
VASP calculation (PBE) on an optimized crystal structure of RuPtRh2.

Cell lengths 9.056, 9.056, 9.056 Å; angles 17.41, 17.41, 17.41 degrees
Element x y z (fractional)
Ru1 0.000 0.000 0.000
Pt1 0.500 0.500 0.500
Rh1 0.254 0.254 0.254
Rh2 0.746 0.746 0.746

Values from the calculation:
D(E_F): 6.44 states/eV/cell
Space group: R-3m

***

(B)
VASP calculation (PBE) on an optimized crystal structure of RuPtRh2.

Cell lengths 5.889, 5.889, 5.889 Å; angles 37.66, 37.66, 37.66 degrees
Element x y z (fractional)
Ru1 0.000 0.000 0.000
Pt1 0.837 0.837 0.837
Rh1 0.259 0.259 0.259
Rh2 0.416 0.416 0.416

Values from the calculation:
D(E_F): 5.37 states/eV/cell
Space group: R3m

***

Q: Which of them is the most stable? A: (A).

***

(A)
VASP calculation (PBE) on an optimized crystal structure of Ru2Pt2Rh7.

Cell lengths 5.058, 5.058, 6.540 Å; angles 96.97, 96.97, 93.30 degrees
Element x y z (fractional)
Ru1 0.159 0.159 0.428
Ru2 0.841 0.841 0.572
Pt1 0.313 0.687 0.500
Pt2 0.687 0.313 0.500
Rh1 0.000 0.000 0.000
Rh2 0.090 0.465 0.807
Rh3 0.391 0.391 0.147
Rh4 0.465 0.090 0.807
Rh5 0.535 0.910 0.193
Rh6 0.609 0.609 0.853
Rh7 0.910 0.535 0.193

Values from the calculation:
D(E_F): 18.24 states/eV/cell
Space group: C2/m

***

(B)
VASP calculation (PBE) on an optimized crystal structure of Ru2Pt2Rh7.

Cell lengths 5.264, 5.264, 7.002 Å; angles 94.15, 94.15, 120.00 degrees
Element x y z (fractional)
Ru1 0.220 0.780 0.000
Ru2 0.780 0.220 0.000
Pt1 0.083 0.083 0.701
Pt2 0.917 0.917 0.299
Rh1 0.069 0.520 0.327
Rh2 0.324 0.324 0.100
Rh3 0.480 0.931 0.673
Rh4 0.500 0.500 0.500
Rh5 0.520 0.069 0.327
Rh6 0.676 0.676 0.900
Rh7 0.931 0.480 0.673

Values from the calculation:
D(E_F): 14.78 states/eV/cell
Space group: C2/m

***

Q: Which of them is the most stable? A: (A).

***

(A)
VASP calculation (PBE) on an optimized crystal structure of Ru3PtRh.

Cell lengths 6.533, 6.533, 5.434 Å; angles 90.00, 90.00, 140.70 degrees
Element x y z (fractional)
Ru1 0.123 0.877 0.750
Ru2 0.312 0.688 0.502
Ru3 0.312 0.688 0.998
Ru4 0.688 0.312 0.002
Ru5 0.688 0.312 0.498
Ru6 0.877 0.123 0.250
Pt1 0.118 0.882 0.250
Pt2 0.882 0.118 0.750
Rh1 0.498 0.502 0.250
Rh2 0.502 0.498 0.750

Values from the calculation:
D(E_F): 8.73 states/eV/cell
Space group: Cmcm

***

(B)
VASP calculation (PBE) on an optimized crystal structure of Ru3PtRh.

Cell lengths 4.609, 4.609, 4.609 Å; angles 90.00, 90.00, 90.00 degrees
Element x y z (fractional)
Ru1 0.000 0.000 0.500
Ru2 0.000 0.500 0.000
Ru3 0.500 0.000 0.000
Pt1 0.500 0.500 0.500
Rh1 0.000 0.000 0.000

Values from the calculation:
D(E_F): 7.75 states/eV/cell
Space group: Pm-3m

***

Q: Which of them is the most stable? A: (A).

***

(A)
VASP calculation (PBE) on an optimized crystal structure of RuPtRh.

Cell lengths 6.206, 6.206, 6.206 Å; angles 154.69, 154.69, 36.10 degrees
Element x y z (fractional)
Ru1 0.000 0.000 0.000
Pt1 0.669 0.669 0.000
Rh1 0.345 0.345 0.000

Values from the calculation:
D(E_F): 3.21 states/eV/cell
Space group: I4mm

***

(B)
VASP calculation (PBE) on an optimized crystal structure of RuPtRh.

Cell lengths 4.746, 4.746, 4.746 Å; angles 146.48, 131.82, 59.96 degrees
Element x y z (fractional)
Ru1 0.000 0.000 0.000
Pt1 0.668 0.668 0.000
Rh1 0.341 0.341 0.000

Values from the calculation:
D(E_F): 3.01 states/eV/cell
Space group: Imm2

***

(C)
VASP calculation (PBE) on an optimized crystal structure of RuPtRh.

Cell lengths 7.884, 7.884, 7.509 Å; angles 104.07, 104.07, 27.22 degrees
Element x y z (fractional)
Ru1 0.246 0.246 0.115
Ru2 0.246 0.246 0.633
Ru3 0.754 0.754 0.367
Ru4 0.754 0.754 0.885
Pt1 0.117 0.117 0.309
Pt2 0.489 0.489 0.252
Pt3 0.511 0.511 0.748
Pt4 0.883 0.883 0.691
Rh1 0.373 0.373 0.427
Rh2 0.378 0.378 0.949
Rh3 0.622 0.622 0.051
Rh4 0.627 0.627 0.573

Values from the calculation:
D(E_F): 16.67 states/eV/cell
Space group: C2/m

***

Q: Which of them is the most stable? A: (A).

***

(A)
VASP calculation (PBE) on an optimized crystal structure of RuPtRh.

Cell lengths 2.734, 2.734, 6.758 Å; angles 90.00, 90.00, 120.00 degrees
Element x y z (fractional)
Ru1 0.000 0.000 0.000
Pt1 0.333 0.667 0.337
Rh1 0.667 0.333 0.685

Values from the calculation:
D(E_F): 3.87 states/eV/cell
Space group: P3m1

***

(B)
VASP calculation (PBE) on an optimized crystal structure of RuPtRh.

Cell lengths 4.187, 4.187, 4.187 Å; angles 60.00, 60.00, 60.00 degrees
Element x y z (fractional)
Ru1 0.000 0.000 0.000
Pt1 0.500 0.500 0.500
Rh1 0.750 0.750 0.750

Values from the calculation:
D(E_F): 5.07 states/eV/cell
Space group: F-43m

***

Q: Which of them is the most stable? A: (A).

***

(A)
VASP calculation (PBE) on an optimized crystal structure of Ru2Pt2Rh5.

Cell lengths 6.595, 6.595, 5.341 Å; angles 105.53, 105.53, 38.46 degrees
Element x y z (fractional)
Ru1 0.090 0.090 0.173
Ru2 0.910 0.910 0.827
Pt1 0.326 0.326 0.026
Pt2 0.674 0.674 0.974
Rh1 0.109 0.109 0.681
Rh2 0.305 0.305 0.521
Rh3 0.500 0.500 0.500
Rh4 0.695 0.695 0.479
Rh5 0.891 0.891 0.319

Values from the calculation:
D(E_F): 13.87 states/eV/cell
Space group: C2/m

***

(B)
VASP calculation (PBE) on an optimized crystal structure of Ru2Pt2Rh5.

Cell lengths 4.724, 4.734, 6.116 Å; angles 74.94, 82.52, 80.38 degrees
Element x y z (fractional)
Ru1 0.054 0.276 0.390
Ru2 0.946 0.724 0.610
Pt1 0.170 0.832 0.170
Pt2 0.830 0.168 0.830
Rh1 0.273 0.394 0.944
Rh2 0.387 0.941 0.715
Rh3 0.500 0.500 0.500
Rh4 0.613 0.059 0.285
Rh5 0.727 0.606 0.056

Values from the calculation:
D(E_F): 10.23 states/eV/cell
Space group: P-1

***

Q: Which of them is the most stable? A: (B).

***

(A)
VASP calculation (PBE) on an optimized crystal structure of Ru2PtRh8.

Cell lengths 7.137, 7.137, 7.137 Å; angles 148.40, 118.70, 70.62 degrees
Element x y z (fractional)
Ru1 0.186 0.186 0.000
Ru2 0.814 0.814 0.000
Pt1 0.500 0.500 0.000
Rh1 0.073 0.340 0.733
Rh2 0.204 0.000 0.204
Rh3 0.336 0.836 0.500
Rh4 0.393 0.660 0.733
Rh5 0.607 0.340 0.267
Rh6 0.664 0.164 0.500
Rh7 0.796 0.000 0.796
Rh8 0.927 0.660 0.267

Values from the calculation:
D(E_F): 13.68 states/eV/cell
Space group: Immm

***

(B)
VASP calculation (PBE) on an optimized crystal structure of Ru2PtRh8.

Cell lengths 6.984, 6.984, 4.662 Å; angles 105.62, 105.62, 119.79 degrees
Element x y z (fractional)
Ru1 0.192 0.808 0.000
Ru2 0.808 0.192 0.000
Pt1 0.500 0.500 0.500
Rh1 0.077 0.077 0.308
Rh2 0.172 0.403 0.869
Rh3 0.282 0.718 0.500
Rh4 0.403 0.172 0.869
Rh5 0.597 0.828 0.131
Rh6 0.718 0.282 0.500
Rh7 0.828 0.597 0.131
Rh8 0.923 0.923 0.692

Values from the calculation:
D(E_F): 15.20 states/eV/cell
Space group: C2/m

***

Q: Which of them is the most stable? A: (A).